(1)
# USnPd, optimized geometry, DFT PBE-GGA
# **Energy**: -125.48 eV/cell
# **Energy of formation from the pure elements**: -0.1433 eV/atom
data_USnPd
_cell_length_a 3.8204
_cell_length_b 3.8204
_cell_length_c 31.9934
_cell_angle_alpha 90.00
_cell_angle_beta 90.00
_cell_angle_gamma 120.00
_space_group_name_H-M_alt 'R -3 m'
_space_group_IT_number 166
_space_group_name_Hall '-R 3 2"'
loop_
_atom_site_label
_atom_site_type_symbol
_atom_site_fract_x
_atom_site_fract_y
_atom_site_fract_z
U1 U 0.0000 0.0000 0.1878
Sn1 Sn 0.0000 0.0000 0.3693
Pd1 Pd 0.0000 0.0000 0.0882

(2)
# CaErZnCu, optimized geometry, DFT PBE-GGA
# **Energy**: -50.84 eV/cell
# **Energy of formation from the pure elements**: -0.1941 eV/atom
data_CaErZnCu
_cell_length_a 7.071
_cell_length_b 7.071
_cell_length_c 7.071
_cell_angle_alpha 90.00
_cell_angle_beta 90.00
_cell_angle_gamma 90.00
_space_group_name_H-M_alt 'F -4 3 m'
_space_group_IT_number 216
_space_group_name_Hall 'F -4 2 3'
loop_
_atom_site_label
_atom_site_type_symbol
_atom_site_fract_x
_atom_site_fract_y
_atom_site_fract_z
Ca1 Ca 0.000 0.000 0.000
Er1 Er 0.000 0.000 0.500
Zn1 Zn 0.250 0.250 0.250
Cu1 Cu 0.250 0.250 0.750

(3)
# LiCaP, optimized geometry, DFT PBE-GGA
# **Energy**: -37.25 eV/cell
# **Energy of formation from the pure elements**: -1.0306 eV/atom
data_LiCaP
_cell_length_a 6.9912
_cell_length_b 6.9912
_cell_length_c 4.1461
_cell_angle_alpha 90.00
_cell_angle_beta 90.00
_cell_angle_gamma 120.00
_space_group_name_H-M_alt 'P -6 2 m'
_space_group_IT_number 189
_space_group_name_Hall 'P -6 -2'
loop_
_atom_site_label
_atom_site_type_symbol
_atom_site_fract_x
_atom_site_fract_y
_atom_site_fract_z
Li1 Li 0.0000 0.7638 0.0000
Ca1 Ca 0.0000 0.4205 0.5000
P1 P 0.0000 0.0000 0.5000
P2 P 0.3333 0.6667 0.0000

(4)
# Nb7Ni2N2, optimized geometry, DFT PBE-GGA
# **E_form (uncorrected)**: -0.1966 eV per atom
# **Energy**: -201.73 eV/cell
data_Nb7Ni2N2
_cell_length_a 2.902
_cell_length_b 13.644
_cell_length_c 8.108
_cell_angle_alpha 90.00
_cell_angle_beta 90.00
_cell_angle_gamma 90.00
_space_group_name_H-M_alt 'I m m 2'
_space_group_IT_number 44
loop_
_space_group_symop_operation_xyz
'x,y,z'
'-x,-y,z'
'-x,y,z'
'x,-y,z'
'x+1/2,y+1/2,z+1/2'
'-x+1/2,-y+1/2,z+1/2'
'-x+1/2,y+1/2,z+1/2'
'x+1/2,-y+1/2,z+1/2'
loop_
_atom_site_label
_atom_site_type_symbol
_atom_site_fract_x
_atom_site_fract_y
_atom_site_fract_z
Nb1 Nb 0.000 0.000 0.000
Nb2 Nb 0.000 0.129 0.431
Nb3 Nb 0.000 0.315 0.610
Nb4 Nb 0.000 0.346 0.264
Ni1 Ni 0.000 0.000 0.678
Ni2 Ni 0.000 0.500 0.772
N1 N 0.000 0.247 0.896

(5)
# Li2Ga4Cu5, optimized geometry, DFT PBE-GGA
# **Energy relative to the lowest polymorph listed for this composition**: 0 meV/atom
# **Energy**: -151.48 eV/cell
# **Energy of formation from the pure elements**: -0.1323 eV/atom
data_Li2Ga4Cu5
_cell_length_a 5.063
_cell_length_b 8.405
_cell_length_c 16.310
_cell_angle_alpha 90.00
_cell_angle_beta 90.00
_cell_angle_gamma 90.00
_space_group_name_H-M_alt 'F m m m'
_space_group_IT_number 69
_space_group_name_Hall '-F 2 2'
loop_
_atom_site_label
_atom_site_type_symbol
_atom_site_fract_x
_atom_site_fract_y
_atom_site_fract_z
Li1 Li 0.000 0.000 0.101
Ga1 Ga 0.000 0.163 0.372
Cu1 Cu 0.000 0.000 0.500
Cu2 Cu 0.250 0.250 0.000
Cu3 Cu 0.250 0.250 0.250

(6)
# HgGeTe3, optimized geometry, DFT PBE-GGA
# **Energy relative to the lowest polymorph listed for this composition**: 753 meV/atom
# **E_form (uncorrected)**: 0.7353 eV per atom
# **Energy**: -10.67 eV/cell
data_HgGeTe3
_cell_length_a 5.586
_cell_length_b 5.586
_cell_length_c 5.586
_cell_angle_alpha 90.00
_cell_angle_beta 90.00
_cell_angle_gamma 90.00
_space_group_name_H-M_alt 'P m -3 m'
_space_group_IT_number 221
_space_group_name_Hall '-P 4 2 3'
loop_
_atom_site_label
_atom_site_type_symbol
_atom_site_fract_x
_atom_site_fract_y
_atom_site_fract_z
Hg1 Hg 0.000 0.000 0.000
Ge1 Ge 0.500 0.500 0.500
Te1 Te 0.000 0.000 0.500